A plane-wave DFT calculation with GGA-PBE was carried out for a geometry-optimized CaSc3 structure.

## Properties
As for the space group: Fm-3m. The formation enthalpy at 0 K comes out at 1.00 eV per formula unit.

Lattice parameters (Å, degrees): 5.387 5.387 5.387 60.00 60.00 60.00
Sites, in units of the cell vectors:
Ca1 0.000 0.000 0.000
Sc1 0.250 0.250 0.250
Sc2 0.500 0.500 0.500
Sc3 0.750 0.750 0.750